## AcSmYGa (PBE)

Data for AcSmYGa after structural relaxation.

Values from the calculation:
* N(E_F): 7.5 states/eV/f.u.
* E: -4.55 eV/atom
* total moment: 0.0 μB/cell
* E_form: 0.030 eV/atom

Cell and atoms, written as CIF:
```
data_AcSmYGa
_space_group_name_H-M_alt 'F -4 3 m'
_space_group_IT_number 216
_space_group_name_Hall 'F -4 2 3'
_cell_length_a 7.818
_cell_length_b 7.818
_cell_length_c 7.818
_cell_angle_alpha 90.00
_cell_angle_beta 90.00
_cell_angle_gamma 90.00
loop_
_atom_site_label
_atom_site_type_symbol
_atom_site_fract_x
_atom_site_fract_y
_atom_site_fract_z
_atom_site_occupancy
Ac1 Ac 0.000 0.000 0.000 1
Sm1 Sm 0.250 0.250 0.250 1
Y1 Y 0.250 0.250 0.750 1
Ga1 Ga 0.000 0.000 0.500 1
```